[1]
Computed, not measured: crystalline YEr2Tc at its relaxed geometry at the PBE-GGA level of DFT.

Summary:
As for the spin magnetization: 0.0 Bohr magnetons per cell. The calculation puts the electronic total energy at -26.43 eV/f.u. The calculation puts the formation enthalpy at 0 K at -0.48 eV per formula unit. The calculation puts the volume at 209 Å³ per cell. The space-group type is No. 63.

Geometry as extended XYZ:
```
8
Lattice="1.9499 -5.9032 0.0000 1.9499 5.9032 0.0000 0.0000 0.0000 9.0661" Properties=species:S:1:pos:R:3 pbc="T T T"
Y 1.9499 5.0703 6.7996
Y 1.9499 -5.0703 2.2665
Er 1.9499 1.7126 5.1269
Er 1.9499 1.7126 8.4722
Er 1.9499 -1.7126 0.5938
Er 1.9499 -1.7126 3.9392
Tc 1.9499 2.8449 2.2665
Tc 1.9499 -2.8449 6.7996
```

---

[2]
Computed, not measured: crystalline ErTe at its relaxed geometry at the PBE-GGA level of DFT.

Summary:
As for the spin magnetization: 0.0 Bohr magnetons per cell. The calculation puts the electronic total energy at -9.29 eV/f.u. The calculation puts the volume at 78 Å³ per cell. The space-group type is No. 216.

Geometry as extended XYZ:
```
2
Lattice="0.0000 3.3949 3.3949 3.3949 0.0000 3.3949 3.3949 3.3949 0.0000" Properties=species:S:1:pos:R:3 pbc="T T T"
Er 0.0000 0.0000 0.0000
Te 5.0924 5.0924 5.0924
```

---

[3]
Computed, not measured: crystalline ErTe at its relaxed geometry at the PBE-GGA level of DFT.

Summary:
As for the spin magnetization: 0.0 Bohr magnetons per cell. The calculation puts the electronic total energy at -10.12 eV/f.u. The calculation puts the volume at 57 Å³ per cell. The space-group type is No. 225.

Geometry as extended XYZ:
```
2
Lattice="0.0000 3.0500 3.0500 3.0500 0.0000 3.0500 3.0500 3.0500 0.0000" Properties=species:S:1:pos:R:3 pbc="T T T"
Er 0.0000 0.0000 0.0000
Te 3.0500 3.0500 3.0500
```

---

[4]
Computed, not measured: crystalline Er2Te at its relaxed geometry at the PBE-GGA level of DFT.

Summary:
As for the spin magnetization: 4.5 Bohr magnetons per cell. The calculation puts the electronic total energy at -9.32 eV/f.u. The calculation puts the volume at 604 Å³ per cell. The space-group type is No. 227.

Geometry as extended XYZ:
```
6
Lattice="0.0000 6.7087 6.7087 6.7087 0.0000 6.7087 6.7087 6.7087 0.0000" Properties=species:S:1:pos:R:3 pbc="T T T"
Er 0.0000 0.0000 0.0000
Er 3.3543 3.3543 0.0000
Er 3.3543 0.0000 3.3543
Er 0.0000 3.3543 3.3543
Te 1.6772 1.6772 1.6772
Te 11.7402 11.7402 11.7402
```

---

Q: Which of these has the lowest volume?
A: number 3

---

Q: Among the records above, which one has the lowest volume?
A: number 3

---

Q: Which formula does entry 2 have?
A: ErTe

---

Q: Among the records above, which one has the lowest electronic total energy?
A: YEr2Tc